1.
Material: Tb5Y7Ho
Method: DFT, PBE
State: optimized geometry

The space group is Imm2 (No. 44) and the conventional cell measures 6.682, 11.149 and 11.604 Å, with angles of 90.00, 90.00 and 90.00 degrees. Symmetry generates all atoms from Tb at (0.000, 0.000, 0.000), Tb at (0.231, 0.273, 0.997), Y at (0.000, 0.000, 0.496), Y at (0.000, 0.168, 0.747), Y at (0.000, 0.172, 0.248), Y at (0.000, 0.500, 0.492), Y at (0.000, 0.500, 0.803) and Ho at (0.000, 0.500, 0.186).

The total magnetization is 0.00 μB per formula unit.

---

2.
Material: TbY5Ho
Method: DFT, PBE
State: optimized geometry

The space group is Immm (No. 71) and the conventional cell measures 5.796, 8.632 and 11.946 Å, with angles of 90.00, 90.00 and 90.00 degrees. Symmetry generates all atoms from Tb at (0.000, 0.000, 0.000), Y at (0.000, 0.000, 0.254), Y at (0.000, 0.322, 0.500), Y at (0.000, 0.500, 0.000) and Ho at (0.000, 0.000, 0.500).

The energy above the most stable polymorph in this dataset comes out at 920 meV/atom. The total magnetization is 0.00 μB per formula unit.

---

no.,calculated formation energy (eV/atom),Fermi-level density of states (states/eV per cell)
1,0.245,48.97
2,1.099,17.63